[1]
Density functional theory data (PBE) for a geometry-optimized Li12Se3I5 structure.

a b c (Å): 13.720 13.720 13.720
angles (deg): 109.47 109.47 109.47
Atoms (fractional coordinates):
Se 0.125 0.250 0.875
Se 0.250 0.125 0.375
Se 0.750 0.375 0.125
Se 0.625 0.250 0.375
Se 0.250 0.625 0.875
Se 0.125 0.875 0.750
Se 0.375 0.750 0.625
Se 0.625 0.375 0.750
Se 0.750 0.875 0.625
Se 0.375 0.625 0.250
Se 0.875 0.750 0.125
Se 0.875 0.125 0.250
I 0.000 0.000 0.500
I 0.625 0.750 0.875
I 0.250 0.375 0.625
I 0.250 0.875 0.125
I 0.875 0.625 0.750
I 0.000 0.500 0.000
I 0.500 0.000 0.000
I 0.625 0.875 0.250
I 0.000 0.500 0.500
I 0.750 0.625 0.375
I 0.125 0.750 0.375
I 0.500 0.500 0.500
I 0.500 0.500 0.000
I 0.125 0.375 0.250
I 0.000 0.000 0.000
I 0.875 0.250 0.625
I 0.500 0.000 0.500
I 0.750 0.125 0.875
I 0.375 0.125 0.750
I 0.375 0.250 0.125
Li 0.263 0.416 0.839
Li 0.416 0.263 0.339
Li 0.577 0.925 0.661
Li 0.075 0.652 0.737
Li 0.339 0.763 0.416
Li 0.423 0.348 0.584
Li 0.848 0.584 0.923
Li 0.584 0.848 0.423
Li 0.348 0.423 0.084
Li 0.923 0.839 0.575
Li 0.763 0.339 0.916
Li 0.839 0.916 0.263
Li 0.152 0.737 0.575
Li 0.839 0.923 0.075
Li 0.339 0.575 0.423
Li 0.925 0.348 0.263
Li 0.575 0.237 0.152
Li 0.425 0.661 0.077
Li 0.763 0.425 0.348
Li 0.077 0.916 0.152
Li 0.916 0.077 0.652
Li 0.425 0.763 0.848
Li 0.161 0.084 0.737
Li 0.652 0.577 0.916
Li 0.737 0.584 0.161
Li 0.737 0.152 0.075
Li 0.584 0.737 0.661
Li 0.348 0.925 0.763
Li 0.237 0.661 0.084
Li 0.263 0.848 0.925
Li 0.084 0.923 0.348
Li 0.077 0.161 0.425
Li 0.923 0.084 0.848
Li 0.848 0.263 0.425
Li 0.661 0.425 0.577
Li 0.075 0.423 0.839
Li 0.416 0.152 0.577
Li 0.577 0.652 0.416
Li 0.575 0.339 0.923
Li 0.925 0.577 0.161
Li 0.423 0.075 0.339
Li 0.916 0.839 0.763
Li 0.661 0.237 0.584
Li 0.161 0.077 0.925
Li 0.652 0.075 0.237
Li 0.084 0.161 0.237
Li 0.152 0.416 0.077
Li 0.237 0.575 0.652

Results
DOS at the Fermi energy = 0.0790 states/eV per atom
formation energy (no corrections) = -23.46 kcal/mol of atoms



[2]
Density functional theory data (PBE) for a geometry-optimized La2Pm7Y structure.

a b c (Å): 5.652 8.679 8.988
angles (deg): 118.87 108.37 90.00
Atoms (fractional coordinates):
Pm 0.872 0.372 0.744
Pm 0.630 0.943 0.257
Pm 0.630 0.315 0.257
Pm 0.370 0.685 0.743
Pm 0.370 0.057 0.743
Pm 0.128 0.628 0.256
Pm 0.500 0.500 0.000
La 0.232 0.231 0.462
La 0.768 0.769 0.538
Y 0.000 0.000 0.000

Results
DOS at the Fermi energy = 1.7356 states/eV per atom
formation energy from the elements = 0.2304 eV per atom



[3]
Density functional theory data (PBE) for a geometry-optimized AcLa4Sm3S8 structure.

a b c (Å): 8.248 8.245 8.248
angles (deg): 120.01 120.00 90.00
Atoms (fractional coordinates):
S 0.739 0.746 0.992
S 0.254 0.261 0.507
S 0.253 0.746 0.992
S 0.746 0.739 0.493
S 0.253 0.746 0.507
S 0.261 0.254 0.008
S 0.747 0.254 0.493
S 0.747 0.254 0.008
La 0.500 0.000 0.500
La 0.000 0.000 0.000
La 0.500 0.000 0.000
La 0.000 0.000 0.500
Sm 0.500 0.500 0.000
Sm 0.000 0.500 0.500
Sm 0.500 0.500 0.500
Ac 0.000 0.500 0.000

Results
DOS at the Fermi energy = 0.5430 states/eV per atom
formation energy (no corrections) = -48.04 kcal/mol of atoms



Question: Among the records above, which one has the highest DOS at the Fermi energy?
Answer: La2Pm7Y